1) This record from the Alexandria database describes crystalline RbTl3Hg at its relaxed geometry. The functional is PBE.

Cell: 5.964 5.964 5.964 Å, 90.00 90.00 90.00°
Space group Pm-3m (No. 221)
Inequivalent atoms, fractional coordinates:
Rb: 0.000 0.000 0.000 (multiplicity 1)
Tl: 0.000 0.500 0.500 (multiplicity 3)
Hg: 0.500 0.500 0.500 (multiplicity 1)

---

2) This record from the Alexandria database describes crystalline RbTl3Hg at its relaxed geometry. The functional is PBE.

Cell: 7.426 7.446 7.529 Å, 90.00 119.33 90.00°
Space group Cm (No. 8)
Inequivalent atoms, fractional coordinates:
Rb: 0.000 0.000 0.000 (multiplicity 2)
Tl: 0.007 0.249 0.515 (multiplicity 4)
Tl: 0.119 0.500 0.238 (multiplicity 2)
Hg: 0.389 0.000 0.778 (multiplicity 2)

---

2) ends up most stable, edging out the next structure by 22.0 kJ/mol of atoms.

---

1) This record from the Alexandria database describes crystalline RbTl3Hg at its relaxed geometry. The functional is PBE.

Cell: 7.9196 7.9196 6.6551 Å, 90.00 90.00 120.00°
Space group P6_3/mmc (No. 194)
Inequivalent atoms, fractional coordinates:
Rb: 0.3333 0.6667 0.2500 (multiplicity 2)
Tl: 0.1892 0.3783 0.7500 (multiplicity 6)
Hg: 0.0000 0.0000 0.0000 (multiplicity 2)

---

2) This record from the Alexandria database describes crystalline RbTl3Hg at its relaxed geometry. The functional is PBE.

Cell: 6.712 6.712 6.712 Å, 90.00 90.00 90.00°
Space group Pm-3m (No. 221)
Inequivalent atoms, fractional coordinates:
Rb: 0.000 0.000 0.000 (multiplicity 1)
Tl: 0.000 0.000 0.500 (multiplicity 3)
Hg: 0.500 0.500 0.500 (multiplicity 1)

---

1) ends up most stable, edging out the next structure by 66.6 kJ/mol of atoms.